[1]
# GGA-PBE AgI, optimized geometry
data_AgI
_symmetry_space_group_name_H-M 'P 1'
_symmetry_Int_Tables_number 1
_symmetry_space_group_name_Hall 'P 1'
_cell_length_a 4.596
_cell_length_b 4.583
_cell_length_c 8.501
_cell_angle_alpha 70.12
_cell_angle_beta 74.50
_cell_angle_gamma 59.89
loop_
_atom_site_label
_atom_site_type_symbol
_atom_site_fract_x
_atom_site_fract_y
_atom_site_fract_z
I1 I 0.267 0.208 0.759
I2 I 0.733 0.792 0.241
Ag1 Ag 0.638 0.617 0.607
Ag2 Ag 0.362 0.383 0.393
# Total DFT energy (no corrections) = -0.0898 hartree per atom
# Density of states at the Fermi level = 0.000 states/eV/cell
# Energy relative to the elements, uncorrected = -242 meV/atom
# SG = P-1 (2)

[2]
# GGA-PBE Ca2CdGaAu, optimized geometry
data_Ca2CdGaAu
_symmetry_space_group_name_H-M 'P 1'
_symmetry_Int_Tables_number 1
_symmetry_space_group_name_Hall 'P 1'
_cell_length_a 5.728
_cell_length_b 4.800
_cell_length_c 5.728
_cell_angle_alpha 90.00
_cell_angle_beta 90.00
_cell_angle_gamma 90.00
loop_
_atom_site_label
_atom_site_type_symbol
_atom_site_fract_x
_atom_site_fract_y
_atom_site_fract_z
Ca1 Ca 0.000 0.000 0.500
Ca2 Ca 0.500 0.000 0.000
Au1 Au 0.000 0.000 0.000
Ga1 Ga 0.000 0.500 0.000
Cd1 Cd 0.500 0.500 0.500
# Total DFT energy (no corrections) = -0.0936 hartree per atom
# Density of states at the Fermi level = 1.867 states/eV/cell
# Formation energy = -0.30 eV per atom
# SG = P4/mmm (123)

Question: Which formula does entry 1 have?
Answer: AgI

Question: Which value of density of states at the Fermi level does entry 2 give?
Answer: 1.867 states/eV/cell

Question: The lowest total DFT energy (no corrections) belongs to which entry?
Answer: Ca2CdGaAu